Computed, not measured: an optimized crystal structure of TlSnPbAu2 at the PBE-GGA level of DFT.

Output
* E_form: -0.0736 eV per atom
* uncorrected energy: -3.4000 eV/atom

a = 7.356 Å, b = 7.356 Å, c = 10.847 Å
α = 126.12°, β = 126.12°, γ = 35.50°
Sites, in units of the cell vectors:
Tl 0.143 0.143 0.155
Tl 0.857 0.857 0.845
Sn 0.086 0.086 0.437
Sn 0.914 0.914 0.563
Pb 0.383 0.383 0.119
Pb 0.617 0.617 0.881
Au 0.175 0.175 0.751
Au 0.347 0.347 0.650
Au 0.653 0.653 0.350
Au 0.825 0.825 0.249